# 1
Computed, not measured: a relaxed structure of FeWBr2 at the PBE level of DFT.

Structure (POSCAR):
```
FeWBr2
1.0
3.231 -0.001 0.000
-0.866 3.113 0.000
0.000 0.000 8.669
Br Fe W
2 1 1
Direct
0.000 0.000 0.919
0.500 0.500 0.355
0.000 0.000 0.544
0.500 0.500 0.682
```

Results
energy above the most stable polymorph in this dataset = 308 meV/atom
spin magnetization = 0.00 μB per cell
formation energy from raw total energies = 10.1 kcal/mol of atoms

---

# 2
Computed, not measured: a relaxed structure of FeWBr3 at the PBE level of DFT.

Structure (POSCAR):
```
FeWBr3
1.0
5.118 0.000 0.000
0.000 5.118 0.000
0.000 0.000 5.118
Br W Fe
3 1 1
Direct
0.500 0.000 0.000
0.000 0.000 0.500
0.000 0.500 0.000
0.000 0.000 0.000
0.500 0.500 0.500
```

Results
energy above the most stable polymorph in this dataset = 0 meV/atom
spin magnetization = 4.23 μB per cell
formation energy from raw total energies = 22.8 kcal/mol of atoms

---

# 3
Computed, not measured: a relaxed structure of FeW2Br2 at the PBE level of DFT.

Structure (POSCAR):
```
FeW2Br2
1.0
6.454 0.000 0.000
0.000 6.454 0.000
0.000 0.000 4.963
W Br Fe
4 4 2
Direct
0.634 0.134 0.000
0.366 0.866 0.000
0.134 0.366 0.000
0.866 0.634 0.000
0.307 0.807 0.500
0.693 0.193 0.500
0.807 0.693 0.500
0.193 0.307 0.500
0.000 0.000 0.000
0.500 0.500 0.000
```

Results
energy above the most stable polymorph in this dataset = 0 meV/atom
spin magnetization = 3.46 μB per cell
formation energy from raw total energies = 22.5 kcal/mol of atoms

---

# 4
Computed, not measured: a relaxed structure of Y2FeBr at the PBE level of DFT.

Structure (POSCAR):
```
Y2FeBr
1.0
8.211 -0.010 0.016
6.663 4.798 -0.016
-7.468 -2.299 2.524
Y Fe Br
2 1 1
Direct
0.778 0.278 0.500
0.074 0.074 0.000
0.199 0.699 0.500
0.449 0.449 0.000
```

Results
energy above the most stable polymorph in this dataset = 121 meV/atom
spin magnetization = 0.88 μB per cell
formation energy from raw total energies = -8.1 kcal/mol of atoms

---

# 5
Computed, not measured: a relaxed structure of YFe3Br at the PBE level of DFT.

Structure (POSCAR):
```
YFe3Br
1.0
4.944 0.000 0.000
0.000 4.944 0.000
0.000 0.000 4.944
Y Br Fe
1 1 3
Direct
0.000 0.000 0.000
0.500 0.500 0.500
0.000 0.000 0.500
0.500 0.000 0.000
0.000 0.500 0.000
```

Results
energy above the most stable polymorph in this dataset = 1041 meV/atom
spin magnetization = 7.27 μB per cell
formation energy from raw total energies = 41.2 kcal/mol of atoms

---

# 6
Computed, not measured: a relaxed structure of YFeBr3 at the PBE level of DFT.

Structure (POSCAR):
```
YFeBr3
1.0
-3.761 -2.029 -3.616
-0.608 -4.560 3.191
-4.102 2.537 2.843
Y Fe Br
1 1 3
Direct
0.000 0.000 0.000
0.500 0.500 0.500
0.000 0.000 0.500
0.500 0.000 0.000
0.000 0.500 0.000
```

Results
energy above the most stable polymorph in this dataset = 0 meV/atom
spin magnetization = 4.00 μB per cell
formation energy from raw total energies = -10.0 kcal/mol of atoms